# KLi2TlI6

A geometry-optimized KLi2TlI6 structure (PBE, the Alexandria database).

Cell lengths 7.8012, 7.8058, 8.5224 Å; angles 90.03, 117.22, 119.92 degrees
Closest atoms and distances in Å follow each position.
Space group P1 (No. 1)
Symmetry-distinct sites (fractional):
K1 0.0000 0.0000 0.0000 x1  6 I 3.42-3.61
Li1 0.5982 0.2992 0.8973 x1  6 I 3.06-3.09
Li2 0.6052 0.8030 0.4083 x1  6 I 2.95-3.13
Tl1 0.9685 0.4842 0.4522 x1  6 I 3.06-3.09
I1 0.1058 0.2073 0.6510 x1  1 Tl 3.06, 2 Li 3.09-3.13
I2 0.1095 0.4624 0.1716 x1  2 Li 2.95-3.06, 1 Tl 3.09
I3 0.4439 0.8983 0.6508 x1  1 Tl 3.06, 2 Li 3.09-3.12
I4 0.5252 0.0631 0.1715 x1  2 Li 2.95-3.06, 1 Tl 3.09
I5 0.7095 0.6471 0.1715 x1  2 Li 2.95-3.06, 1 Tl 3.09
I6 0.7530 0.5459 0.6511 x1  1 Tl 3.06, 2 Li 3.09-3.13

Computed properties:
Formation energy without anion corrections (meV/atom): -818.4
Mass density (g/cm³): 4.43